1.
VASP calculation (PBE) on B3C after structural relaxation.

N(E_F) = 1.08 states/eV per cell
formation energy = 0.5534 eV/atom
energy relative to the lowest polymorph listed for this composition = 313 meV/atom

abc: 2.5261 2.5261 15.4182
angles: 90.00 90.00 120.00
Space group P3m1 (No. 156)
Inequivalent atoms, fractional coordinates:
B 0.0000 0.0000 0.0000 (multiplicity 1)
B 0.0000 0.0000 0.1091 (multiplicity 1)
B 0.0000 0.0000 0.5403 (multiplicity 1)
B 0.3333 0.6667 0.1804 (multiplicity 1)
B 0.3333 0.6667 0.2891 (multiplicity 1)
B 0.3333 0.6667 0.7809 (multiplicity 1)
B 0.6667 0.3333 0.3601 (multiplicity 1)
B 0.6667 0.3333 0.4690 (multiplicity 1)
B 0.6667 0.3333 0.9292 (multiplicity 1)
C 0.0000 0.0000 0.6425 (multiplicity 1)
C 0.3333 0.6667 0.6771 (multiplicity 1)
C 0.6667 0.3333 0.8295 (multiplicity 1)

---

2.
VASP calculation (PBE) on B3C2 after structural relaxation.

N(E_F) = 6.74 states/eV per cell
formation energy = 0.3789 eV/atom
energy relative to the lowest polymorph listed for this composition = 168 meV/atom

abc: 8.4996 2.6514 6.3425
angles: 90.00 103.35 90.00
Space group Cm (No. 8)
Inequivalent atoms, fractional coordinates:
B 0.0000 0.0000 0.0000 (multiplicity 2)
B 0.0129 0.5000 0.3623 (multiplicity 2)
B 0.0508 0.0000 0.5567 (multiplicity 2)
B 0.2364 0.5000 0.8990 (multiplicity 2)
B 0.3896 0.0000 0.5355 (multiplicity 2)
B 0.4209 0.5000 0.7286 (multiplicity 2)
C 0.0535 0.5000 0.1341 (multiplicity 2)
C 0.1339 0.0000 0.8055 (multiplicity 2)
C 0.2439 0.5000 0.1766 (multiplicity 2)
C 0.3059 0.0000 0.2888 (multiplicity 2)